Entry 1:
# Pm3Pr2Er, optimized geometry, DFT GGA-PBE
# Magnetic moment (μB/atom): 0.000
# Offset from the most stable computed form (meV/atom): 0
# Electronic total energy (eV per cell): -55.0
# Formation enthalpy at 0 K (eV per formula unit): 0.88
data_Pm3Pr2Er
_chemical_formula_sum 'Pm6 Pr4 Er2'
_space_group_name_H-M_alt 'P 1'
_space_group_IT_number 1
_cell_length_a 18.230
_cell_length_b 3.495
_cell_length_c 6.692
_cell_angle_alpha 90.00
_cell_angle_beta 102.79
_cell_angle_gamma 90.00
loop_
_space_group_symop_operation_xyz
'x,y,z'
loop_
_atom_site_label
_atom_site_fract_x
_atom_site_fract_y
_atom_site_fract_z
Pm1 0.000 0.000 0.000
Pm2 0.170 0.000 0.360
Pm3 0.330 0.500 0.640
Pm4 0.500 0.500 0.000
Pm5 0.670 0.500 0.360
Pm6 0.830 0.000 0.640
Pr1 0.161 0.500 0.849
Pr2 0.339 0.000 0.151
Pr3 0.661 0.000 0.849
Pr4 0.839 0.500 0.151
Er1 0.000 0.000 0.500
Er2 0.500 0.500 0.500

---

Entry 2:
# PmPr12Er6, optimized geometry, DFT GGA-PBE
# Magnetic moment (μB/atom): 0.000
# Offset from the most stable computed form (meV/atom): 202
# Electronic total energy (eV per cell): -85.3
# Formation enthalpy at 0 K (eV per formula unit): 4.17
data_PmPr12Er6
_chemical_formula_sum 'Pm1 Pr12 Er6'
_space_group_name_H-M_alt 'P 1'
_space_group_IT_number 1
_cell_length_a 9.509
_cell_length_b 9.509
_cell_length_c 9.509
_cell_angle_alpha 109.47
_cell_angle_beta 109.47
_cell_angle_gamma 109.47
loop_
_space_group_symop_operation_xyz
'x,y,z'
loop_
_atom_site_label
_atom_site_fract_x
_atom_site_fract_y
_atom_site_fract_z
Pm1 0.000 0.000 0.000
Pr1 0.067 0.264 0.803
Pr2 0.197 0.462 0.264
Pr3 0.197 0.933 0.736
Pr4 0.264 0.197 0.462
Pr5 0.264 0.803 0.067
Pr6 0.462 0.264 0.197
Pr7 0.538 0.736 0.803
Pr8 0.736 0.197 0.933
Pr9 0.736 0.803 0.538
Pr10 0.803 0.067 0.264
Pr11 0.803 0.538 0.736
Pr12 0.933 0.736 0.197
Er1 0.142 0.500 0.642
Er2 0.358 0.858 0.500
Er3 0.500 0.358 0.858
Er4 0.500 0.642 0.142
Er5 0.642 0.142 0.500
Er6 0.858 0.500 0.358

---

Entry 3:
# Pm2Pr2Er, optimized geometry, DFT GGA-PBE
# Magnetic moment (μB/atom): 0.000
# Offset from the most stable computed form (meV/atom): 111
# Electronic total energy (eV per cell): -45.9
# Formation enthalpy at 0 K (eV per formula unit): 0.69
data_Pm2Pr2Er
_chemical_formula_sum 'Pm4 Pr4 Er2'
_space_group_name_H-M_alt 'P 1'
_space_group_IT_number 1
_cell_length_a 16.570
_cell_length_b 16.570
_cell_length_c 16.570
_cell_angle_alpha 167.27
_cell_angle_beta 159.68
_cell_angle_gamma 24.05
loop_
_space_group_symop_operation_xyz
'x,y,z'
loop_
_atom_site_label
_atom_site_fract_x
_atom_site_fract_y
_atom_site_fract_z
Pm1 0.042 0.292 0.750
Pm2 0.443 0.193 0.250
Pm3 0.557 0.807 0.750
Pm4 0.958 0.708 0.250
Pr1 0.131 0.881 0.250
Pr2 0.229 0.979 0.250
Pr3 0.771 0.021 0.750
Pr4 0.869 0.119 0.750
Er1 0.329 0.579 0.750
Er2 0.671 0.421 0.250

---

Entry 4:
# Pm2Pr4Er5, optimized geometry, DFT GGA-PBE
# Magnetic moment (μB/atom): 0.000
# Offset from the most stable computed form (meV/atom): 0
# Electronic total energy (eV per cell): -50.3
# Formation enthalpy at 0 K (eV per formula unit): 1.10
data_Pm2Pr4Er5
_chemical_formula_sum 'Pm2 Pr4 Er5'
_space_group_name_H-M_alt 'P 1'
_space_group_IT_number 1
_cell_length_a 10.224
_cell_length_b 10.224
_cell_length_c 6.402
_cell_angle_alpha 94.53
_cell_angle_beta 94.53
_cell_angle_gamma 33.42
loop_
_space_group_symop_operation_xyz
'x,y,z'
loop_
_atom_site_label
_atom_site_fract_x
_atom_site_fract_y
_atom_site_fract_z
Pm1 0.099 0.099 0.046
Pm2 0.901 0.901 0.954
Pr1 0.192 0.192 0.573
Pr2 0.464 0.464 0.235
Pr3 0.536 0.536 0.765
Pr4 0.808 0.808 0.427
Er1 0.000 0.000 0.500
Er2 0.284 0.284 0.108
Er3 0.368 0.368 0.653
Er4 0.632 0.632 0.347
Er5 0.716 0.716 0.892